*i*
# KTl3Bi2 GGA-PBE optimized geometry
data_KTl3Bi2
_space_group_name_H-M_alt 'C 1 2/m 1'
_space_group_IT_number 12
_cell_length_a 19.0857
_cell_length_b 5.4912
_cell_length_c 9.6446
_cell_angle_alpha 90.00
_cell_angle_beta 120.34
_cell_angle_gamma 90.00
loop_
_space_group_symop_operation_xyz
'x,y,z'
'-x,-y,-z'
'-x,y,-z'
'x,-y,z'
'x+1/2,y+1/2,z'
'-x+1/2,-y+1/2,-z'
'-x+1/2,y+1/2,-z'
'x+1/2,-y+1/2,z'
loop_
_atom_site_label
_atom_site_type_symbol
_atom_site_fract_x
_atom_site_fract_y
_atom_site_fract_z
_atom_site_occupancy
K1 K 0.1331 0.0000 0.1334 1
Tl1 Tl 0.9997 0.0000 0.3358 1
Tl2 Tl 0.1800 0.5000 0.4755 1
Tl3 Tl 0.1802 0.5000 0.8848 1
Bi1 Bi 0.9999 0.5000 0.1587 1
Bi2 Bi 0.2004 0.0000 0.7002 1
# Density, g cm⁻³: 8.1

=====

*ii*
# KTl3Bi2 GGA-PBE optimized geometry
data_KTl3Bi2
_space_group_name_H-M_alt 'C m c m'
_space_group_IT_number 63
_space_group_name_Hall '-C 2c 2'
_cell_length_a 12.5132
_cell_length_b 10.6427
_cell_length_c 6.5918
_cell_angle_alpha 90.00
_cell_angle_beta 90.00
_cell_angle_gamma 90.00
loop_
_atom_site_label
_atom_site_type_symbol
_atom_site_fract_x
_atom_site_fract_y
_atom_site_fract_z
_atom_site_occupancy
K1 K 0.0000 0.1419 0.2500 1
Tl1 Tl 0.0000 0.4820 0.2500 1
Tl2 Tl 0.1451 0.2503 0.7500 1
Bi1 Bi 0.2435 0.0000 0.0000 1
# Density, g cm⁻³: 8.1

=====

Each structure's energy above the most stable one, in meV/atom: *i* 0; *ii* 42.

=====

*i*
# KUBi2 GGA-PBE optimized geometry
data_KUBi2
_space_group_name_H-M_alt 'P 4/m m m'
_space_group_IT_number 123
_space_group_name_Hall '-P 4 2'
_cell_length_a 3.5973
_cell_length_b 3.5973
_cell_length_c 9.8692
_cell_angle_alpha 90.00
_cell_angle_beta 90.00
_cell_angle_gamma 90.00
loop_
_atom_site_label
_atom_site_type_symbol
_atom_site_fract_x
_atom_site_fract_y
_atom_site_fract_z
_atom_site_occupancy
K1 K 0.0000 0.0000 0.0000 1
U1 U 0.0000 0.0000 0.5000 1
Bi1 Bi 0.5000 0.5000 0.2742 1
# Density, g cm⁻³: 9.0

=====

*ii*
# KUBi2 GGA-PBE optimized geometry
data_KUBi2
_space_group_name_H-M_alt 'R -3 m'
_space_group_IT_number 166
_space_group_name_Hall '-R 3 2"'
_cell_length_a 4.6615
_cell_length_b 4.6615
_cell_length_c 24.6373
_cell_angle_alpha 90.00
_cell_angle_beta 90.00
_cell_angle_gamma 120.00
loop_
_atom_site_label
_atom_site_type_symbol
_atom_site_fract_x
_atom_site_fract_y
_atom_site_fract_z
_atom_site_occupancy
K1 K 0.0000 0.0000 0.0000 1
U1 U 0.0000 0.0000 0.5000 1
Bi1 Bi 0.0000 0.0000 0.2315 1
# Density, g cm⁻³: 7.5

=====

Each structure's energy above the most stable one, in meV/atom: *i* 0; *ii* 110.

=====

*i*
# KV3Bi GGA-PBE optimized geometry
data_KV3Bi
_space_group_name_H-M_alt 'P m -3 m'
_space_group_IT_number 221
_space_group_name_Hall '-P 4 2 3'
_cell_length_a 4.5011
_cell_length_b 4.5011
_cell_length_c 4.5011
_cell_angle_alpha 90.00
_cell_angle_beta 90.00
_cell_angle_gamma 90.00
loop_
_atom_site_label
_atom_site_type_symbol
_atom_site_fract_x
_atom_site_fract_y
_atom_site_fract_z
_atom_site_occupancy
K1 K 0.0000 0.0000 0.0000 1
V1 V 0.0000 0.0000 0.5000 1
Bi1 Bi 0.5000 0.5000 0.5000 1
# Density, g cm⁻³: 7.3

=====

*ii*
# KV3Bi GGA-PBE optimized geometry
data_KV3Bi
_space_group_name_H-M_alt 'P m -3 m'
_space_group_IT_number 221
_space_group_name_Hall '-P 4 2 3'
_cell_length_a 5.4458
_cell_length_b 5.4458
_cell_length_c 5.4458
_cell_angle_alpha 90.00
_cell_angle_beta 90.00
_cell_angle_gamma 90.00
loop_
_atom_site_label
_atom_site_type_symbol
_atom_site_fract_x
_atom_site_fract_y
_atom_site_fract_z
_atom_site_occupancy
K1 K 0.0000 0.0000 0.0000 1
V1 V 0.0000 0.5000 0.5000 1
Bi1 Bi 0.5000 0.5000 0.5000 1
# Density, g cm⁻³: 4.1

=====

Each structure's energy above the most stable one, in meV/atom: *i* 966; *ii* 0.

=====

*i*
# KBiW GGA-PBE optimized geometry
data_KBiW
_space_group_name_H-M_alt 'P -1'
_space_group_IT_number 2
_cell_length_a 3.6555
_cell_length_b 4.1558
_cell_length_c 12.9239
_cell_angle_alpha 90.21
_cell_angle_beta 90.10
_cell_angle_gamma 90.00
loop_
_space_group_symop_operation_xyz
'x,y,z'
'-x,-y,-z'
loop_
_atom_site_label
_atom_site_type_symbol
_atom_site_fract_x
_atom_site_fract_y
_atom_site_fract_z
_atom_site_occupancy
K1 K 0.2475 0.2458 0.1552 1
Bi1 Bi 0.2514 0.2522 0.6657 1
W1 W 0.2497 0.7502 0.5055 1
# Density, g cm⁻³: 7.3

=====

*ii*
# KBiW GGA-PBE optimized geometry
data_KBiW
_space_group_name_H-M_alt 'C 1 2/m 1'
_space_group_IT_number 12
_cell_length_a 17.8639
_cell_length_b 3.4256
_cell_length_c 6.6753
_cell_angle_alpha 90.00
_cell_angle_beta 107.90
_cell_angle_gamma 90.00
loop_
_space_group_symop_operation_xyz
'x,y,z'
'-x,-y,-z'
'-x,y,-z'
'x,-y,z'
'x+1/2,y+1/2,z'
'-x+1/2,-y+1/2,-z'
'-x+1/2,y+1/2,-z'
'x+1/2,-y+1/2,z'
loop_
_atom_site_label
_atom_site_type_symbol
_atom_site_fract_x
_atom_site_fract_y
_atom_site_fract_z
_atom_site_occupancy
K1 K 0.1016 0.0000 0.3217 1
Bi1 Bi 0.1016 0.5000 0.8252 1
W1 W 0.2428 0.0000 0.8657 1
# Density, g cm⁻³: 7.4

=====

Each structure's energy above the most stable one, in meV/atom: *i* 0; *ii* 251.

=====

*i*
# KBiW GGA-PBE optimized geometry
data_KBiW
_space_group_name_H-M_alt 'P 1'
_space_group_IT_number 1
_cell_length_a 3.4740
_cell_length_b 4.6488
_cell_length_c 13.3698
_cell_angle_alpha 92.45
_cell_angle_beta 91.43
_cell_angle_gamma 111.90
loop_
_space_group_symop_operation_xyz
'x,y,z'
loop_
_atom_site_label
_atom_site_type_symbol
_atom_site_fract_x
_atom_site_fract_y
_atom_site_fract_z
_atom_site_occupancy
K1 K 0.0000 0.0000 0.0000 1
K2 K 0.2918 0.4517 0.7014 1
Bi1 Bi 0.5413 0.9856 0.5125 1
Bi2 Bi 0.7579 0.4826 0.1884 1
W1 W 0.2029 0.3351 0.3729 1
W2 W 0.4986 0.9385 0.3037 1
# Density, g cm⁻³: 7.2

=====

*ii*
# KBiW GGA-PBE optimized geometry
data_KBiW
_space_group_name_H-M_alt 'P -1'
_space_group_IT_number 2
_cell_length_a 5.0596
_cell_length_b 5.9060
_cell_length_c 7.4260
_cell_angle_alpha 78.91
_cell_angle_beta 70.25
_cell_angle_gamma 64.83
loop_
_space_group_symop_operation_xyz
'x,y,z'
'-x,-y,-z'
loop_
_atom_site_label
_atom_site_type_symbol
_atom_site_fract_x
_atom_site_fract_y
_atom_site_fract_z
_atom_site_occupancy
K1 K 0.2112 0.2135 0.3639 1
Bi1 Bi 0.4158 0.3601 0.8080 1
W1 W 0.0779 0.7922 0.0516 1
# Density, g cm⁻³: 7.6

=====

Each structure's energy above the most stable one, in meV/atom: *i* 0; *ii* 229.

=====

*i*
# KBiW GGA-PBE optimized geometry
data_KBiW
_space_group_name_H-M_alt 'C 1 m 1'
_space_group_IT_number 8
_cell_length_a 7.6984
_cell_length_b 4.4693
_cell_length_c 12.9699
_cell_angle_alpha 90.00
_cell_angle_beta 101.93
_cell_angle_gamma 90.00
loop_
_space_group_symop_operation_xyz
'x,y,z'
'x,-y,z'
'x+1/2,y+1/2,z'
'x+1/2,-y+1/2,z'
loop_
_atom_site_label
_atom_site_type_symbol
_atom_site_fract_x
_atom_site_fract_y
_atom_site_fract_z
_atom_site_occupancy
K1 K 0.0000 0.0000 0.0000 1
K2 K 0.2343 0.0000 0.6784 1
Bi1 Bi 0.0009 0.5000 0.4799 1
Bi2 Bi 0.4028 0.0000 0.1978 1
W1 W 0.1192 0.0000 0.3389 1
W2 W 0.2847 0.5000 0.3387 1
# Density, g cm⁻³: 6.6

=====

*ii*
# KBiW GGA-PBE optimized geometry
data_KBiW
_space_group_name_H-M_alt 'C 1 m 1'
_space_group_IT_number 8
_cell_length_a 17.8241
_cell_length_b 3.4362
_cell_length_c 5.9328
_cell_angle_alpha 90.00
_cell_angle_beta 91.64
_cell_angle_gamma 90.00
loop_
_space_group_symop_operation_xyz
'x,y,z'
'x,-y,z'
'x+1/2,y+1/2,z'
'x+1/2,-y+1/2,z'
loop_
_atom_site_label
_atom_site_type_symbol
_atom_site_fract_x
_atom_site_fract_y
_atom_site_fract_z
_atom_site_occupancy
K1 K 0.0000 0.0000 0.0000 1
K2 K 0.1496 0.0000 0.5207 1
Bi1 Bi 0.2268 0.5000 0.0343 1
Bi2 Bi 0.4645 0.0000 0.4988 1
W1 W 0.3271 0.0000 0.7279 1
W2 W 0.3337 0.5000 0.4270 1
# Density, g cm⁻³: 7.9

=====

Each structure's energy above the most stable one, in meV/atom: *i* 0; *ii* 101.

=====

*i*
# KBi2W2 GGA-PBE optimized geometry
data_KBi2W2
_space_group_name_H-M_alt 'P 4/m b m'
_space_group_IT_number 127
_space_group_name_Hall '-P 4 2ab'
_cell_length_a 9.1491
_cell_length_b 9.1491
_cell_length_c 3.3134
_cell_angle_alpha 90.00
_cell_angle_beta 90.00
_cell_angle_gamma 90.00
loop_
_atom_site_label
_atom_site_type_symbol
_atom_site_fract_x
_atom_site_fract_y
_atom_site_fract_z
_atom_site_occupancy
K1 K 0.0000 0.0000 0.0000 1
Bi1 Bi 0.1692 0.3308 0.0000 1
W1 W 0.0890 0.5890 0.5000 1
# Density, g cm⁻³: 9.9

=====

*ii*
# KBi2W2 GGA-PBE optimized geometry
data_KBi2W2
_space_group_name_H-M_alt 'I 4/m m m'
_space_group_IT_number 139
_space_group_name_Hall '-I 4 2'
_cell_length_a 3.8897
_cell_length_b 3.8897
_cell_length_c 18.2358
_cell_angle_alpha 90.00
_cell_angle_beta 90.00
_cell_angle_gamma 90.00
loop_
_atom_site_label
_atom_site_type_symbol
_atom_site_fract_x
_atom_site_fract_y
_atom_site_fract_z
_atom_site_occupancy
K1 K 0.0000 0.0000 0.0000 1
Bi1 Bi 0.0000 0.0000 0.3677 1
W1 W 0.0000 0.5000 0.2500 1
# Density, g cm⁻³: 9.9

=====

Each structure's energy above the most stable one, in meV/atom: *i* 522; *ii* 0.

=====

*i*
# KYBi2 GGA-PBE optimized geometry
data_KYBi2
_space_group_name_H-M_alt 'P 4/m m m'
_space_group_IT_number 123
_space_group_name_Hall '-P 4 2'
_cell_length_a 3.7138
_cell_length_b 3.7138
_cell_length_c 9.5950
_cell_angle_alpha 90.00
_cell_angle_beta 90.00
_cell_angle_gamma 90.00
loop_
_atom_site_label
_atom_site_type_symbol
_atom_site_fract_x
_atom_site_fract_y
_atom_site_fract_z
_atom_site_occupancy
K1 K 0.0000 0.0000 0.0000 1
Y1 Y 0.0000 0.0000 0.5000 1
Bi1 Bi 0.5000 0.5000 0.2790 1
# Density, g cm⁻³: 6.9

=====

*ii*
# KYBi2 GGA-PBE optimized geometry
data_KYBi2
_space_group_name_H-M_alt 'F m -3 m'
_space_group_IT_number 225
_space_group_name_Hall '-F 4 2 3'
_cell_length_a 8.0307
_cell_length_b 8.0307
_cell_length_c 8.0307
_cell_angle_alpha 90.00
_cell_angle_beta 90.00
_cell_angle_gamma 90.00
loop_
_atom_site_label
_atom_site_type_symbol
_atom_site_fract_x
_atom_site_fract_y
_atom_site_fract_z
_atom_site_occupancy
K1 K 0.0000 0.0000 0.0000 1
Y1 Y 0.0000 0.0000 0.5000 1
Bi1 Bi 0.2500 0.2500 0.2500 1
# Density, g cm⁻³: 7.0

=====

Each structure's energy above the most stable one, in meV/atom: *i* 0; *ii* 189.

=====

*i*
# K2Zn2Bi GGA-PBE optimized geometry
data_K2Zn2Bi
_space_group_name_H-M_alt 'P 4/m b m'
_space_group_IT_number 127
_space_group_name_Hall '-P 4 2ab'
_cell_length_a 9.9382
_cell_length_b 9.9382
_cell_length_c 3.4227
_cell_angle_alpha 90.00
_cell_angle_beta 90.00
_cell_angle_gamma 90.00
loop_
_atom_site_label
_atom_site_type_symbol
_atom_site_fract_x
_atom_site_fract_y
_atom_site_fract_z
_atom_site_occupancy
K1 K 0.1938 0.3062 0.0000 1
Zn1 Zn 0.0970 0.5970 0.5000 1
Bi1 Bi 0.0000 0.0000 0.0000 1
# Density, g cm⁻³: 4.1

=====

*ii*
# K2Zn2Bi GGA-PBE optimized geometry
data_K2Zn2Bi
_space_group_name_H-M_alt 'I 4/m m m'
_space_group_IT_number 139
_space_group_name_Hall '-I 4 2'
_cell_length_a 3.6777
_cell_length_b 3.6777
_cell_length_c 23.2269
_cell_angle_alpha 90.00
_cell_angle_beta 90.00
_cell_angle_gamma 90.00
loop_
_atom_site_label
_atom_site_type_symbol
_atom_site_fract_x
_atom_site_fract_y
_atom_site_fract_z
_atom_site_occupancy
K1 K 0.0000 0.0000 0.1123 1
Zn1 Zn 0.0000 0.5000 0.2500 1
Bi1 Bi 0.0000 0.0000 0.5000 1
# Density, g cm⁻³: 4.4

=====

*iii*
# K2Zn2Bi GGA-PBE optimized geometry
data_K2Zn2Bi
_space_group_name_H-M_alt 'P 4/m b m'
_space_group_IT_number 127
_space_group_name_Hall '-P 4 2ab'
_cell_length_a 7.6139
_cell_length_b 7.6139
_cell_length_c 5.5106
_cell_angle_alpha 90.00
_cell_angle_beta 90.00
_cell_angle_gamma 90.00
loop_
_atom_site_label
_atom_site_type_symbol
_atom_site_fract_x
_atom_site_fract_y
_atom_site_fract_z
_atom_site_occupancy
K1 K 0.1878 0.3122 0.0000 1
Zn1 Zn 0.1188 0.6188 0.5000 1
Bi1 Bi 0.0000 0.0000 0.5000 1
# Density, g cm⁻³: 4.3

=====

Each structure's energy above the most stable one, in meV/atom: *i* 265; *ii* 33; *iii* 0.

=====

*i*
# KZrBi2 GGA-PBE optimized geometry
data_KZrBi2
_space_group_name_H-M_alt 'R 3 m'
_space_group_IT_number 160
_space_group_name_Hall 'R 3 -2"'
_cell_length_a 4.0533
_cell_length_b 4.0533
_cell_length_c 28.0472
_cell_angle_alpha 90.00
_cell_angle_beta 90.00
_cell_angle_gamma 120.00
loop_
_atom_site_label
_atom_site_type_symbol
_atom_site_fract_x
_atom_site_fract_y
_atom_site_fract_z
_atom_site_occupancy
K1 K 0.0000 0.0000 0.0000 1
Zr1 Zr 0.0000 0.0000 0.8319 1
Bi1 Bi 0.0000 0.0000 0.2348 1
Bi2 Bi 0.0000 0.0000 0.4301 1
# Density, g cm⁻³: 6.8

=====

*ii*
# KZrBi2 GGA-PBE optimized geometry
data_KZrBi2
_space_group_name_H-M_alt 'F m -3 m'
_space_group_IT_number 225
_space_group_name_Hall '-F 4 2 3'
_cell_length_a 7.7649
_cell_length_b 7.7649
_cell_length_c 7.7649
_cell_angle_alpha 90.00
_cell_angle_beta 90.00
_cell_angle_gamma 90.00
loop_
_atom_site_label
_atom_site_type_symbol
_atom_site_fract_x
_atom_site_fract_y
_atom_site_fract_z
_atom_site_occupancy
K1 K 0.0000 0.0000 0.0000 1
Zr1 Zr 0.0000 0.0000 0.5000 1
Bi1 Bi 0.2500 0.2500 0.2500 1
# Density, g cm⁻³: 7.8

=====

Each structure's energy above the most stable one, in meV/atom: *i* 0; *ii* 307.

=====

*i*
# KZrBi2 GGA-PBE optimized geometry
data_KZrBi2
_space_group_name_H-M_alt 'I -4 2 d'
_space_group_IT_number 122
_space_group_name_Hall 'I -4 2bw'
_cell_length_a 6.9491
_cell_length_b 6.9491
_cell_length_c 17.5856
_cell_angle_alpha 90.00
_cell_angle_beta 90.00
_cell_angle_gamma 90.00
loop_
_atom_site_label
_atom_site_type_symbol
_atom_site_fract_x
_atom_site_fract_y
_atom_site_fract_z
_atom_site_occupancy
K1 K 0.0000 0.0000 0.0000 1
Zr1 Zr 0.0000 0.0000 0.5000 1
Bi1 Bi 0.0289 0.2500 0.6250 1
# Density, g cm⁻³: 4.3

=====

*ii*
# KZrBi2 GGA-PBE optimized geometry
data_KZrBi2
_space_group_name_H-M_alt 'R -3 m'
_space_group_IT_number 166
_space_group_name_Hall '-R 3 2"'
_cell_length_a 4.0577
_cell_length_b 4.0577
_cell_length_c 27.9168
_cell_angle_alpha 90.00
_cell_angle_beta 90.00
_cell_angle_gamma 120.00
loop_
_atom_site_label
_atom_site_type_symbol
_atom_site_fract_x
_atom_site_fract_y
_atom_site_fract_z
_atom_site_occupancy
K1 K 0.0000 0.0000 0.0000 1
Zr1 Zr 0.0000 0.0000 0.5000 1
Bi1 Bi 0.0000 0.0000 0.2359 1
# Density, g cm⁻³: 6.9

=====

*iii*
# KZrBi2 GGA-PBE optimized geometry
data_KZrBi2
_space_group_name_H-M_alt 'P 4/m m m'
_space_group_IT_number 123
_space_group_name_Hall '-P 4 2'
_cell_length_a 3.5106
_cell_length_b 3.5106
_cell_length_c 9.6368
_cell_angle_alpha 90.00
_cell_angle_beta 90.00
_cell_angle_gamma 90.00
loop_
_atom_site_label
_atom_site_type_symbol
_atom_site_fract_x
_atom_site_fract_y
_atom_site_fract_z
_atom_site_occupancy
K1 K 0.0000 0.0000 0.0000 1
Zr1 Zr 0.0000 0.0000 0.5000 1
Bi1 Bi 0.5000 0.5000 0.2852 1
# Density, g cm⁻³: 7.7

=====

Each structure's energy above the most stable one, in meV/atom: *i* 348; *ii* 16; *iii* 0.